Entry from Alexandria: a relaxed Cs2MoF crystal (GGA+U).

Lattice parameters (Å, degrees): 8.9240 8.9240 8.9240 90.00 90.00 90.00
Closest atoms and distances in Å follow each position.
Space group Fm-3m (No. 225)
Asymmetric unit:
Cs: 0.2500 0.2500 0.2500 [8 per cell]  4 F 3.86, 4 Mo 3.86
Mo: 0.0000 0.0000 0.0000 [4 per cell]  8 Cs 3.86
F: 0.0000 0.0000 0.5000 [4 per cell]  8 Cs 3.86

- Offset from the most stable computed form: 311 meV per atom
- Total energy: -2.901 eV/atom